A plane-wave DFT calculation with GGA-PBE was carried out for LaSmTm2Th after structural relaxation.

CIF file:
```
data_LaSmTm2Th
_cell_length_a 3.526
_cell_length_b 5.662
_cell_length_c 8.717
_cell_angle_alpha 90.00
_cell_angle_beta 90.00
_cell_angle_gamma 90.00
_symmetry_space_group_name_H-M 'P m m m'
_symmetry_Int_Tables_number 47
loop_
_symmetry_equiv_pos_as_xyz
'x,y,z'
'-x,-y,-z'
'-x,-y,z'
'x,y,-z'
'x,-y,-z'
'-x,y,z'
'-x,y,-z'
'x,-y,z'
loop_
_atom_site_label
_atom_site_type_symbol
_atom_site_fract_x
_atom_site_fract_y
_atom_site_fract_z
_atom_site_occupancy
La1 La 0.000 0.000 0.000 1
Sm1 Sm 0.500 0.000 0.500 1
Tm1 Tm 0.000 0.500 0.321 1
Th1 Th 0.500 0.500 0.000 1
```

Results
The electronic total energy is -4.9289 eV/atom. Its calculated formation energy is 1.37 eV per formula unit. The volume is 174.0 Å³ per cell.

A plane-wave DFT calculation with GGA-PBE was carried out for Na2SmAgBr6 after structural relaxation.

CIF file:
```
data_Na2SmAgBr6
_cell_length_a 7.415
_cell_length_b 7.420
_cell_length_c 7.910
_cell_angle_alpha 90.07
_cell_angle_beta 117.89
_cell_angle_gamma 119.95
_symmetry_space_group_name_H-M 'P 1'
_symmetry_Int_Tables_number 1
loop_
_symmetry_equiv_pos_as_xyz
'x,y,z'
loop_
_atom_site_label
_atom_site_type_symbol
_atom_site_fract_x
_atom_site_fract_y
_atom_site_fract_z
_atom_site_occupancy
Na1 Na 0.000 0.000 0.000 1
Na2 Na 0.015 0.508 0.522 1
Sm1 Sm 0.620 0.310 0.929 1
Ag1 Ag 0.597 0.799 0.396 1
Br1 Br 0.112 0.413 0.204 1
Br2 Br 0.125 0.198 0.704 1
Br3 Br 0.504 0.092 0.204 1
Br4 Br 0.506 0.928 0.703 1
Br5 Br 0.776 0.579 0.704 1
Br6 Br 0.792 0.700 0.204 1
```

Results
The electronic total energy is -3.4509 eV/atom. Its uncorrected formation energy is -1.426 eV/atom. The volume is 317.2 Å³ per cell.

A plane-wave DFT calculation with GGA-PBE was carried out for Ta8Ti2Re after structural relaxation.

CIF file:
```
data_Ta8Ti2Re
_cell_length_a 15.442
_cell_length_b 4.613
_cell_length_c 5.447
_cell_angle_alpha 90.00
_cell_angle_beta 90.08
_cell_angle_gamma 90.00
_symmetry_space_group_name_H-M 'C 1 2/m 1'
_symmetry_Int_Tables_number 12
loop_
_symmetry_equiv_pos_as_xyz
'x,y,z'
'-x,-y,-z'
'-x,y,-z'
'x,-y,z'
'x+1/2,y+1/2,z'
'-x+1/2,-y+1/2,-z'
'-x+1/2,y+1/2,-z'
'x+1/2,-y+1/2,z'
loop_
_atom_site_label
_atom_site_type_symbol
_atom_site_fract_x
_atom_site_fract_y
_atom_site_fract_z
_atom_site_occupancy
Ta1 Ta 0.044 0.000 0.236 1
Ta2 Ta 0.089 0.500 0.942 1
Ta3 Ta 0.176 0.500 0.408 1
Ta4 Ta 0.229 0.000 0.143 1
Ti1 Ti 0.140 0.000 0.687 1
Re1 Re 0.000 0.500 0.500 1
```

Results
The electronic total energy is -11.2548 eV/atom. Its calculated formation energy is -0.74 eV per formula unit. The volume is 388.0 Å³ per cell.